# 1
Material: Mn2GeAsW
Method: DFT, PBE
State: optimized geometry

```
Mn2GeAsW
1.0
4.275 0.000 0.000
0.000 4.716 0.000
0.000 0.000 4.275
As Mn W Ge
1 2 1 1
direct
0.000 0.500 0.000
0.000 0.000 0.500
0.500 0.000 0.000
0.500 0.500 0.500
0.000 0.000 0.000
```

- symmetry = P4/mmm (123)
- calculated volume (A^3/atom) = 17.2
- energy relative to the elements (kJ/mol of formula units) = 835

***

# 2
Material: Ge3MoAs
Method: DFT, PBE
State: optimized geometry

```
Ge3MoAs
1.0
4.899 0.000 0.000
0.000 4.899 0.000
0.000 0.000 4.899
Ge As Mo
3 1 1
direct
0.000 0.500 0.000
0.500 0.000 0.000
0.000 0.000 0.500
0.500 0.500 0.500
0.000 0.000 0.000
```

- symmetry = Pm-3m (221)
- calculated volume (A^3/atom) = 23.5
- energy relative to the elements (kJ/mol of formula units) = 312
- relative energy among the computed polymorphs (meV per atom) = 0

***

# 3
Material: Ge2Mo2As
Method: DFT, PBE
State: optimized geometry

```
Ge2Mo2As
1.0
6.912 0.000 0.000
0.000 6.912 0.000
0.000 0.000 3.447
Ge Mo As
4 4 2
direct
0.862 0.362 0.500
0.362 0.138 0.500
0.138 0.638 0.500
0.638 0.862 0.500
0.841 0.659 0.000
0.341 0.841 0.000
0.159 0.341 0.000
0.659 0.159 0.000
0.000 0.000 0.000
0.500 0.500 0.000
```

- symmetry = P4/mbm (127)
- calculated volume (A^3/atom) = 16.5
- energy relative to the elements (kJ/mol of formula units) = 26

***

# 4
Material: GeMoAs
Method: DFT, PBE
State: optimized geometry

```
GeMoAs
1.0
-2.273 1.683 4.044
-4.419 1.553 1.554
-4.350 -4.968 4.008
Ge As Mo
2 2 2
direct
0.604 0.604 0.103
0.396 0.396 0.897
0.145 0.145 0.463
0.855 0.855 0.537
0.154 0.154 0.798
0.846 0.846 0.202
```

- symmetry = C2/m (12)
- calculated volume (A^3/atom) = 17.1
- energy relative to the elements (kJ/mol of formula units) = -53
- relative energy among the computed polymorphs (meV per atom) = 0

***

# 5
Material: Ge3MoAs
Method: DFT, PBE
State: optimized geometry

```
Ge3MoAs
1.0
-0.149 4.130 2.427
-4.619 0.519 -1.167
-1.269 -2.376 3.964
Ge As Mo
3 1 1
direct
0.000 0.500 0.000
0.500 0.000 0.000
0.000 0.000 0.500
0.000 0.000 0.000
0.500 0.500 0.500
```

- symmetry = Pm-3m (221)
- calculated volume (A^3/atom) = 22.0
- energy relative to the elements (kJ/mol of formula units) = 705
- relative energy among the computed polymorphs (meV per atom) = 815

***

# 6
Material: GeMo3As
Method: DFT, PBE
State: optimized geometry

```
GeMo3As
1.0
4.606 0.000 0.000
0.000 4.606 0.000
0.000 0.000 4.606
Mo Ge As
3 1 1
direct
0.000 0.000 0.500
0.500 0.000 0.000
0.000 0.500 0.000
0.500 0.500 0.500
0.000 0.000 0.000
```

- symmetry = Pm-3m (221)
- calculated volume (A^3/atom) = 19.5
- energy relative to the elements (kJ/mol of formula units) = 571
- relative energy among the computed polymorphs (meV per atom) = 0

***

# 7
Material: GeMo2As2
Method: DFT, PBE
State: optimized geometry

```
GeMo2As2
1.0
-2.828 6.286 1.678
-0.483 -2.027 6.781
3.014 1.203 0.574
Ge As Mo
2 4 4
direct
0.500 0.500 0.000
0.000 0.000 0.000
0.642 0.858 0.500
0.142 0.642 0.500
0.858 0.358 0.500
0.358 0.142 0.500
0.348 0.848 0.000
0.848 0.652 0.000
0.652 0.152 0.000
0.152 0.348 0.000
```

- symmetry = P4/mbm (127)
- calculated volume (A^3/atom) = 16.6
- energy relative to the elements (kJ/mol of formula units) = 22

***

# 8
Material: GeMoAs3
Method: DFT, PBE
State: optimized geometry

```
GeMoAs3
1.0
-2.003 2.020 3.988
1.012 -4.052 2.560
4.354 1.870 1.239
As Ge Mo
3 1 1
direct
0.500 0.000 0.000
0.000 0.000 0.500
0.000 0.500 0.000
0.500 0.500 0.500
0.000 0.000 0.000
```

- symmetry = Pm-3m (221)
- calculated volume (A^3/atom) = 23.5
- energy relative to the elements (kJ/mol of formula units) = 281
- relative energy among the computed polymorphs (meV per atom) = 0

***

# 9
Material: Ge2MoAs
Method: DFT, PBE
State: optimized geometry

```
Ge2MoAs
1.0
-2.920 2.801 -4.278
3.424 -2.587 -4.031
-3.414 -4.225 -4.488
Ge Mo As
4 2 2
direct
0.632 0.125 0.250
0.875 0.882 0.750
0.118 0.625 0.250
0.375 0.368 0.750
0.000 0.000 0.000
0.750 0.250 0.500
0.500 0.500 0.000
0.250 0.750 0.500
```

- symmetry = I-42d (122)
- calculated volume (A^3/atom) = 24.6
- energy relative to the elements (kJ/mol of formula units) = 242

***

# 10
Material: GeMo2As
Method: DFT, PBE
State: optimized geometry

```
GeMo2As
1.0
0.000 3.131 3.131
3.131 0.000 3.131
3.131 3.131 0.000
Ge As Mo
1 1 2
direct
0.000 0.000 0.000
0.500 0.500 0.500
0.250 0.250 0.250
0.750 0.750 0.750
```

- symmetry = Fm-3m (225)
- calculated volume (A^3/atom) = 15.3
- energy relative to the elements (kJ/mol of formula units) = 16
- relative energy among the computed polymorphs (meV per atom) = 0

***

# 11
Material: GeMoAs
Method: DFT, PBE
State: optimized geometry

```
GeMoAs
1.0
5.285 0.265 0.427
-2.024 4.867 -0.276
1.237 2.721 4.388
Mo As Ge
2 2 2
direct
0.783 0.000 0.217
0.283 0.000 0.717
0.283 0.500 0.717
0.783 0.500 0.217
0.282 0.000 0.218
0.782 0.000 0.718
```

- symmetry = Pmmm (47)
- calculated volume (A^3/atom) = 19.0
- energy relative to the elements (kJ/mol of formula units) = 82
- relative energy among the computed polymorphs (meV per atom) = 465

***

# 12
Material: GeMo2As
Method: DFT, PBE
State: optimized geometry

```
GeMo2As
1.0
-3.488 1.478 -0.794
0.147 -1.555 -3.541
-5.624 -7.661 1.016
Mo As Ge
4 2 2
direct
0.875 0.882 0.750
0.632 0.125 0.250
0.375 0.368 0.750
0.118 0.625 0.250
0.000 0.000 0.000
0.750 0.250 0.500
0.500 0.500 0.000
0.250 0.750 0.500
```

- symmetry = I-42d (122)
- calculated volume (A^3/atom) = 17.1
- energy relative to the elements (kJ/mol of formula units) = 148
- relative energy among the computed polymorphs (meV per atom) = 341

***

# 13
Material: GeMoAs3
Method: DFT, PBE
State: optimized geometry

```
GeMoAs3
1.0
4.845 0.000 0.000
0.000 4.845 0.000
0.000 0.000 4.845
Ge As Mo
1 3 1
direct
0.000 0.000 0.000
0.000 0.500 0.000
0.500 0.000 0.000
0.000 0.000 0.500
0.500 0.500 0.500
```

- symmetry = Pm-3m (221)
- calculated volume (A^3/atom) = 22.7
- energy relative to the elements (kJ/mol of formula units) = 589
- relative energy among the computed polymorphs (meV per atom) = 639

***

# 14
Material: GeMoAs
Method: DFT, PBE
State: optimized geometry

```
GeMoAs
1.0
-0.615 1.774 3.056
-3.473 -0.808 -0.230
1.247 -6.511 4.030
Mo Ge As
2 2 2
direct
0.250 0.250 0.745
0.750 0.750 0.255
0.750 0.250 0.000
0.250 0.750 0.000
0.750 0.750 0.611
0.250 0.250 0.389
```

- symmetry = Pmmn (59)
- calculated volume (A^3/atom) = 16.6
- energy relative to the elements (kJ/mol of formula units) = -14
- relative energy among the computed polymorphs (meV per atom) = 136

***

# 15
Material: Na2GeMoAs
Method: DFT, PBE
State: optimized geometry

```
Na2GeMoAs
1.0
5.277 0.000 0.000
0.000 4.823 0.000
0.000 0.000 5.277
Ge Na Mo As
1 2 1 1
direct
0.500 0.500 0.500
0.000 0.000 0.500
0.500 0.000 0.000
0.000 0.500 0.000
0.000 0.000 0.000
```

- symmetry = P4/mmm (123)
- calculated volume (A^3/atom) = 26.9
- energy relative to the elements (kJ/mol of formula units) = 295

***

# 16
Material: Ge2MoAsP
Method: DFT, PBE
State: optimized geometry

```
Ge2MoAsP
1.0
4.981 0.000 0.000
0.000 4.583 0.000
0.000 0.000 4.981
P Ge Mo As
1 2 1 1
direct
0.000 0.500 0.000
0.500 0.000 0.000
0.000 0.000 0.500
0.000 0.000 0.000
0.500 0.500 0.500
```

- symmetry = P4/mmm (123)
- calculated volume (A^3/atom) = 22.7
- energy relative to the elements (kJ/mol of formula units) = 294

***

# 17
Material: GeMoAs2S
Method: DFT, PBE
State: optimized geometry

```
GeMoAs2S
1.0
-0.800 1.900 -4.353
-4.965 0.137 0.973
0.483 4.424 1.842
Mo Ge S As
1 1 1 2
direct
0.000 0.500 0.000
0.000 0.000 0.000
0.500 0.500 0.500
0.000 0.000 0.500
0.500 0.000 0.000
```

- energy relative to the elements, uncorrected (eV/f.u.) = 6.4
- symmetry = P4/mmm (123)
- calculated volume (A^3/atom) = 23.5

***

# 18
Material: GeMoAs2Se
Method: DFT, PBE
State: optimized geometry

```
GeMoAs2Se
1.0
-2.123 -3.719 -2.260
3.056 0.517 -3.720
3.157 -3.115 2.160
As Mo Ge Se
2 1 1 1
direct
0.500 0.000 0.000
0.000 0.500 0.000
0.500 0.500 0.500
0.000 0.000 0.000
0.000 0.000 0.500
```

- energy relative to the elements, uncorrected (eV/f.u.) = 5.6
- symmetry = P4/mmm (123)
- calculated volume (A^3/atom) = 23.1
- relative energy among the computed polymorphs (meV per atom) = 585

***

# 19
Material: GeMoAsSe2
Method: DFT, PBE
State: optimized geometry

```
GeMoAsSe2
1.0
4.980 0.000 0.000
0.000 4.980 0.000
0.000 0.000 4.848
Mo Ge As Se
1 1 1 2
direct
0.000 0.000 0.000
0.500 0.500 0.500
0.000 0.000 0.500
0.000 0.500 0.000
0.500 0.000 0.000
```

- energy relative to the elements, uncorrected (eV/f.u.) = 2.3
- symmetry = P4/mmm (123)
- calculated volume (A^3/atom) = 24.0
- relative energy among the computed polymorphs (meV per atom) = 0

***

# 20
Material: GeMoAs2Se
Method: DFT, PBE
State: optimized geometry

```
GeMoAs2Se
1.0
-4.009 1.495 2.322
-1.202 -4.630 0.905
2.567 0.178 4.317
As Se Ge Mo
2 1 1 1
direct
0.500 0.000 0.000
0.000 0.500 0.000
0.000 0.000 0.500
0.500 0.500 0.500
0.000 0.000 0.000
```

- energy relative to the elements, uncorrected (eV/f.u.) = 2.7
- symmetry = P4/mmm (123)
- calculated volume (A^3/atom) = 23.8
- relative energy among the computed polymorphs (meV per atom) = 0